Record 1
Density functional theory data (PBE-GGA) for a geometry-optimized Re3SnN structure.

Calculated values
For the raw formation energy, the calculation gives 4177 meV/atom. As for the excess energy over the best structure of this formula in the dataset: 3.636 eV per atom. For the density of states at the Fermi level, the calculation gives 1.600 states/eV/atom. Its final energy is -5.76 eV/atom. Its space group is Pm-3m.

Lattice parameters (Å, degrees): 4.8480 4.8480 4.8480 90.00 90.00 90.00
With the nearest neighbours (Å) after each atom.
Fractional positions:
Re (0.0000, 0.5000, 0.0000)  2 Sn 2.42
Re (0.0000, 0.0000, 0.5000)  2 Sn 2.42
Re (0.5000, 0.0000, 0.0000)  2 Sn 2.42
Sn (0.0000, 0.0000, 0.0000)  6 Re 2.42
N (0.5000, 0.5000, 0.5000)  12 Re 3.43

=====

Record 2
Density functional theory data (PBE-GGA) for a geometry-optimized ReSnN structure.

Calculated values
For the raw formation energy, the calculation gives 533 meV/atom. For the density of states at the Fermi level, the calculation gives 0.459 states/eV/atom. Its final energy is -7.73 eV/atom. Its space group is P2_1/m.

Lattice parameters (Å, degrees): 3.2222 4.4280 8.9046 90.00 111.18 90.00
With the nearest neighbours (Å) after each atom.
Fractional positions:
Re (0.9869, 0.7500, 0.2376)  2 N 1.87
Re (0.0131, 0.2500, 0.7624)  2 N 1.87
N (0.6009, 0.7501, 0.3518)  2 Re 1.87
N (0.3991, 0.2499, 0.6482)  2 Re 1.87
Sn (0.6413, 0.7500, 0.8909)  5 Re 2.88-2.94, 2 N 2.99, 2 Sn 3.22
Sn (0.3587, 0.2500, 0.1091)  5 Re 2.88-2.94, 2 N 2.99, 2 Sn 3.22

=====

Record 3
Density functional theory data (PBE-GGA) for a geometry-optimized ReSnN2 structure.

Calculated values
For the raw formation energy, the calculation gives 596 meV/atom. For the density of states at the Fermi level, the calculation gives 0.518 states/eV/atom. Its final energy is -7.68 eV/atom. Its space group is R-3m.

Lattice parameters (Å, degrees): 6.6157 6.6157 6.6157 27.29 27.29 27.29
With the nearest neighbours (Å) after each atom.
Fractional positions:
Re (0.0000, 0.0000, 0.0000)  2 N 1.94
Sn (0.5000, 0.5000, 0.5000)  6 N 2.19
N (0.8983, 0.8983, 0.8983)  1 Re 1.94
N (0.1017, 0.1017, 0.1017)  1 Re 1.94

=====

Record 4
Density functional theory data (PBE-GGA) for a geometry-optimized ReSnN2 structure.

Calculated values
For the raw formation energy, the calculation gives 280 meV/atom. For the density of states at the Fermi level, the calculation gives 0.419 states/eV/atom. Its final energy is -8.00 eV/atom. Its space group is R-3m.

Lattice parameters (Å, degrees): 7.1079 7.1079 7.1079 24.50 24.50 24.50
With the nearest neighbours (Å) after each atom.
Fractional positions:
Re (0.5000, 0.5000, 0.5000)  6 N 2.09
Sn (0.0000, 0.0000, 0.0000)  2 N 2.29
N (0.8891, 0.8891, 0.8891)  3 Re 2.09, 1 Sn 2.29
N (0.1109, 0.1109, 0.1109)  3 Re 2.09, 1 Sn 2.29

=====

Record 5
Density functional theory data (PBE-GGA) for a geometry-optimized Re3SnN structure.

Calculated values
For the raw formation energy, the calculation gives 540 meV/atom. As for the excess energy over the best structure of this formula in the dataset: 0.000 eV per atom. For the density of states at the Fermi level, the calculation gives 0.845 states/eV/atom. Its final energy is -9.39 eV/atom. Its space group is Pm-3m.

Lattice parameters (Å, degrees): 4.1532 4.1532 4.1532 90.00 90.00 90.00
With the nearest neighbours (Å) after each atom.
Fractional positions:
Re (0.0000, 0.5000, 0.0000)  2 N 2.08
Re (0.0000, 0.0000, 0.5000)  2 N 2.08
Re (0.5000, 0.0000, 0.0000)  2 N 2.08
Sn (0.5000, 0.5000, 0.5000)  12 Re 2.94
N (0.0000, 0.0000, 0.0000)  6 Re 2.08

=====

Record 6
Density functional theory data (PBE-GGA) for a geometry-optimized VRe2SnN structure.

Calculated values
For the raw formation energy, the calculation gives 567 meV/atom. For the density of states at the Fermi level, the calculation gives 1.009 states/eV/atom. Its final energy is -8.70 eV/atom. Its space group is P4/mmm.

Lattice parameters (Å, degrees): 3.9556 4.8661 3.9556 90.00 90.00 90.00
With the nearest neighbours (Å) after each atom.
Fractional positions:
Re (0.0000, 0.0000, 0.5000)  2 N 1.98
Re (0.5000, 0.0000, 0.0000)  2 N 1.98
N (0.0000, 0.0000, 0.0000)  4 Re 1.98
Sn (0.0000, 0.5000, 0.0000)  2 N 2.43
V (0.5000, 0.5000, 0.5000)  4 Sn 2.80